## P
The following is a DFT calculation (PBE) of CuBi3Se after structural relaxation.

Output
The calculation puts the magnetization at 0.00 μB/f.u. The density of states at the Fermi level comes out at 1.1766 states/eV per atom.

The structure in CIF format:
```
data_CuBi3Se
_cell_length_a 5.249
_cell_length_b 5.249
_cell_length_c 5.249
_cell_angle_alpha 90.00
_cell_angle_beta 90.00
_cell_angle_gamma 90.00
_space_group_name_H-M_alt 'P m -3 m'
_space_group_IT_number 221
_space_group_name_Hall '-P 4 2 3'
loop_
_atom_site_label
_atom_site_type_symbol
_atom_site_fract_x
_atom_site_fract_y
_atom_site_fract_z
Cu1 Cu 0.000 0.000 0.000
Bi1 Bi 0.000 0.000 0.500
Se1 Se 0.500 0.500 0.500
```

=====

## Q
The following is a DFT calculation (PBE) of CuBi3Se after structural relaxation.

Output
The calculation puts the magnetization at 0.00 μB/f.u. The density of states at the Fermi level comes out at 1.2447 states/eV per atom.

The structure in CIF format:
```
data_CuBi3Se
_cell_length_a 5.566
_cell_length_b 5.566
_cell_length_c 5.566
_cell_angle_alpha 90.00
_cell_angle_beta 90.00
_cell_angle_gamma 90.00
_space_group_name_H-M_alt 'P m -3 m'
_space_group_IT_number 221
_space_group_name_Hall '-P 4 2 3'
loop_
_atom_site_label
_atom_site_type_symbol
_atom_site_fract_x
_atom_site_fract_y
_atom_site_fract_z
Cu1 Cu 0.000 0.000 0.000
Bi1 Bi 0.000 0.500 0.500
Se1 Se 0.500 0.500 0.500
```

=====

The structure with the greatest stability is P.

=====

## P
The following is a DFT calculation (PBE) of Cu3BiSe after structural relaxation.

Output
The calculation puts the magnetization at 0.00 μB/f.u. The density of states at the Fermi level comes out at 1.2648 states/eV per atom.

The structure in CIF format:
```
data_Cu3BiSe
_cell_length_a 4.980
_cell_length_b 4.980
_cell_length_c 4.980
_cell_angle_alpha 90.00
_cell_angle_beta 90.00
_cell_angle_gamma 90.00
_space_group_name_H-M_alt 'P m -3 m'
_space_group_IT_number 221
_space_group_name_Hall '-P 4 2 3'
loop_
_atom_site_label
_atom_site_type_symbol
_atom_site_fract_x
_atom_site_fract_y
_atom_site_fract_z
Cu1 Cu 0.000 0.000 0.500
Bi1 Bi 0.000 0.000 0.000
Se1 Se 0.500 0.500 0.500
```

=====

## Q
The following is a DFT calculation (PBE) of Cu3BiSe after structural relaxation.

Output
The calculation puts the magnetization at 0.00 μB/f.u. The density of states at the Fermi level comes out at 1.0237 states/eV per atom.

The structure in CIF format:
```
data_Cu3BiSe
_cell_length_a 4.679
_cell_length_b 4.679
_cell_length_c 4.679
_cell_angle_alpha 90.00
_cell_angle_beta 90.00
_cell_angle_gamma 90.00
_space_group_name_H-M_alt 'P m -3 m'
_space_group_IT_number 221
_space_group_name_Hall '-P 4 2 3'
loop_
_atom_site_label
_atom_site_type_symbol
_atom_site_fract_x
_atom_site_fract_y
_atom_site_fract_z
Cu1 Cu 0.000 0.000 0.500
Bi1 Bi 0.500 0.500 0.500
Se1 Se 0.000 0.000 0.000
```

=====

The structure with the greatest stability is Q.

=====

## P
The following is a DFT calculation (PBE) of Cu2BiSe2 after structural relaxation.

Output
The calculation puts the magnetization at 0.00 μB/f.u. The density of states at the Fermi level comes out at 0.2649 states/eV per atom.

The structure in CIF format:
```
data_Cu2BiSe2
_cell_length_a 4.291
_cell_length_b 4.166
_cell_length_c 6.854
_cell_angle_alpha 90.00
_cell_angle_beta 105.55
_cell_angle_gamma 90.00
_space_group_name_H-M_alt 'P 1 m 1'
_space_group_IT_number 6
loop_
_space_group_symop_operation_xyz
'x,y,z'
'x,-y,z'
loop_
_atom_site_label
_atom_site_type_symbol
_atom_site_fract_x
_atom_site_fract_y
_atom_site_fract_z
Cu1 Cu 0.000 0.000 0.000
Cu2 Cu 0.389 0.500 0.975
Bi1 Bi 0.600 0.000 0.608
Se1 Se 0.116 0.500 0.622
Se2 Se 0.571 0.000 0.158
```

=====

## Q
The following is a DFT calculation (PBE) of Cu2BiSe2 after structural relaxation.

Output
The calculation puts the magnetization at 0.00 μB/f.u. The density of states at the Fermi level comes out at 0.5006 states/eV per atom.

The structure in CIF format:
```
data_Cu2BiSe2
_cell_length_a 3.745
_cell_length_b 3.745
_cell_length_c 14.376
_cell_angle_alpha 90.00
_cell_angle_beta 90.00
_cell_angle_gamma 90.00
_space_group_name_H-M_alt 'I 4/m m m'
_space_group_IT_number 139
_space_group_name_Hall '-I 4 2'
loop_
_atom_site_label
_atom_site_type_symbol
_atom_site_fract_x
_atom_site_fract_y
_atom_site_fract_z
Cu1 Cu 0.000 0.500 0.250
Bi1 Bi 0.000 0.000 0.000
Se1 Se 0.000 0.000 0.368
```

=====

The structure with the greatest stability is P.

=====

## P
The following is a DFT calculation (PBE) of CuBi2Se after structural relaxation.

Output
The calculation puts the magnetization at 0.00 μB/f.u. The density of states at the Fermi level comes out at 0.7055 states/eV per atom.

The structure in CIF format:
```
data_CuBi2Se
_cell_length_a 6.264
_cell_length_b 6.264
_cell_length_c 13.175
_cell_angle_alpha 90.00
_cell_angle_beta 90.00
_cell_angle_gamma 90.00
_space_group_name_H-M_alt 'I -4 2 d'
_space_group_IT_number 122
_space_group_name_Hall 'I -4 2bw'
loop_
_atom_site_label
_atom_site_type_symbol
_atom_site_fract_x
_atom_site_fract_y
_atom_site_fract_z
Cu1 Cu 0.000 0.000 0.000
Bi1 Bi 0.206 0.250 0.125
Se1 Se 0.000 0.000 0.500
```

=====

## Q
The following is a DFT calculation (PBE) of CuBi2Se after structural relaxation.

Output
The calculation puts the magnetization at 0.00 μB/f.u. The density of states at the Fermi level comes out at 0.5422 states/eV per atom.

The structure in CIF format:
```
data_CuBi2Se
_cell_length_a 7.256
_cell_length_b 7.256
_cell_length_c 7.256
_cell_angle_alpha 90.00
_cell_angle_beta 90.00
_cell_angle_gamma 90.00
_space_group_name_H-M_alt 'F m -3 m'
_space_group_IT_number 225
_space_group_name_Hall '-F 4 2 3'
loop_
_atom_site_label
_atom_site_type_symbol
_atom_site_fract_x
_atom_site_fract_y
_atom_site_fract_z
Cu1 Cu 0.000 0.000 0.000
Bi1 Bi 0.250 0.250 0.250
Se1 Se 0.000 0.000 0.500
```

=====

The structure with the greatest stability is P.